Entry 1:
Material: CdCu3
Method: DFT, PBE
State: optimized geometry

Summary:
As for the energy of formation from the pure elements: 0.09 eV per atom. As for the crystal system: orthorhombic. The calculation puts the total magnetization at 0.000 μB/atom. For the theoretical density, the calculation gives 8.88 g/cm³.

Cell: 4.9573 4.9573 4.9573 Å, 142.21 129.69 64.60°
Last column: nearest neighbours and their distance in Å.
Atoms (fractional coordinates):
1 Cu 0.7637 0.7637 0.0000  6 Cu 2.55-2.66, 2 Cd 2.73
2 Cu 0.2363 0.2363 0.0000  6 Cu 2.55-2.66, 2 Cd 2.73
3 Cu 0.0000 0.5000 0.5000  4 Cu 2.55, 4 Cd 2.65
4 Cd 0.5000 0.0000 0.5000  12 Cu 2.65-2.89

Entry 2:
Material: Y7Er12Sc
Method: DFT, PBE
State: optimized geometry

Summary:
As for the energy of formation from the pure elements: 0.32 eV per atom. As for the crystal system: trigonal. The value obtained for the distance to the lowest polymorph of the same formula is 75 meV/atom. The calculation puts the total magnetization at 0.000 μB/atom. For the theoretical density, the calculation gives 6.84 g/cm³.

Cell: 6.6047 10.8796 10.8796 Å, 63.99 78.33 101.67°
Last column: nearest neighbours and their distance in Å.
Atoms (fractional coordinates):
1 Er 0.2659 0.5197 0.9382  2 Y 3.17-3.32, 5 Er 3.17-3.43
2 Er 0.5060 0.2147 0.5708  4 Er 3.17-3.43, 3 Y 3.42-3.52
3 Er 0.2914 0.2145 0.2147  4 Er 3.17-3.43, 3 Y 3.42-3.52
4 Er 0.7462 0.5421 0.5197  2 Y 3.17-3.32, 5 Er 3.17-3.43
5 Er 0.2538 0.4579 0.4803  2 Y 3.17-3.32, 5 Er 3.17-3.43
6 Er 0.4940 0.7853 0.4292  4 Er 3.17-3.43, 3 Y 3.42-3.52
7 Er 0.7341 0.4803 0.0618  2 Y 3.17-3.32, 5 Er 3.17-3.43
8 Er 0.0769 0.5708 0.2145  4 Er 3.17-3.43, 3 Y 3.42-3.52
9 Er 0.7959 0.0618 0.4579  2 Y 3.17-3.32, 5 Er 3.17-3.43
10 Er 0.9231 0.4292 0.7855  4 Er 3.17-3.43, 3 Y 3.42-3.52
11 Er 0.2041 0.9382 0.5421  2 Y 3.17-3.32, 5 Er 3.17-3.43
12 Er 0.7086 0.7855 0.7853  4 Er 3.17-3.43, 3 Y 3.42-3.52
13 Y 0.9375 0.1358 0.7000  1 Sc 3.09, 3 Er 3.17-3.42, 1 Y 3.38
14 Y 0.6375 0.7000 0.1643  1 Sc 3.09, 3 Er 3.17-3.42, 1 Y 3.38
15 Y 0.5000 0.0000 0.0000  2 Sc 3.30, 6 Y 3.38
16 Y 0.8017 0.1643 0.1358  1 Sc 3.09, 3 Er 3.17-3.42, 1 Y 3.38
17 Y 0.0625 0.8642 0.3000  1 Sc 3.09, 3 Er 3.17-3.42, 1 Y 3.38
18 Y 0.3625 0.3000 0.8357  1 Sc 3.09, 3 Er 3.17-3.42, 1 Y 3.38
19 Y 0.1983 0.8357 0.8642  1 Sc 3.09, 3 Er 3.17-3.42, 1 Y 3.38
20 Sc 0.0000 0.0000 0.0000  8 Y 3.09-3.30

Entry 3:
Material: InTeOs2
Method: DFT, PBE
State: optimized geometry

Summary:
As for the crystal system: tetragonal. The value obtained for the distance to the lowest polymorph of the same formula is 594 meV/atom. The calculation puts the total magnetization at 0.000 μB/atom. For the theoretical density, the calculation gives 14.33 g/cm³.

Cell: 5.1108 5.1108 5.1108 Å, 132.04 132.04 70.16°
Last column: nearest neighbours and their distance in Å.
Atoms (fractional coordinates):
1 Te 0.5000 0.5000 0.0000  8 Os 2.94-2.95, 4 In 2.95
2 In 0.7500 0.2500 0.5000  8 Os 2.94-2.95, 4 Te 2.95
3 Os 0.0000 0.0000 0.0000  4 Te 2.94, 4 In 2.95, 4 Os 2.95
4 Os 0.2500 0.7500 0.5000  4 In 2.94, 4 Os 2.95, 4 Te 2.95

Entry 4:
Material: RbMg3Zr
Method: DFT, PBE
State: optimized geometry

Summary:
As for the energy of formation from the pure elements: 0.75 eV per atom. As for the crystal system: cubic. The value obtained for the distance to the lowest polymorph of the same formula is 0 meV/atom. The calculation puts the total magnetization at 0.738 μB/atom. For the theoretical density, the calculation gives 2.03 g/cm³.

Cell: 5.8902 5.8902 5.8902 Å, 90.00 90.00 90.00°
Last column: nearest neighbours and their distance in Å.
Atoms (fractional coordinates):
1 Mg 0.5000 0.0000 0.0000  2 Zr 2.95
2 Mg 0.0000 0.5000 0.0000  2 Zr 2.95
3 Mg 0.0000 0.0000 0.5000  2 Zr 2.95
4 Rb 0.5000 0.5000 0.5000  12 Mg 4.17
5 Zr 0.0000 0.0000 0.0000  6 Mg 2.95

Entry 5:
Material: Cs2BaI6Br
Method: DFT, PBE
State: optimized geometry

Summary:
The raw total energy is -0.17803 Ry/atom. As for the crystal system: tetragonal. The calculation puts the total magnetization at 0.000 μB/atom. For the theoretical density, the calculation gives 3.55 g/cm³.

Cell: 9.7389 9.7389 9.2193 Å, 58.12 58.12 90.00°
Last column: nearest neighbours and their distance in Å.
Atoms (fractional coordinates):
1 I 0.2419 0.2419 0.0000  1 Ba 3.33, 1 Br 3.55
2 I 0.2419 0.7581 0.0000  1 Ba 3.33, 1 Br 3.55
3 I 0.7581 0.2419 0.0000  1 Ba 3.33, 1 Br 3.55
4 I 0.7581 0.7581 0.0000  1 Ba 3.33, 1 Br 3.55
5 I 0.7213 0.7213 0.5574  1 Br 2.71
6 I 0.2787 0.2787 0.4426  1 Br 2.71
7 Cs 0.2500 0.7500 0.5000  12 I 4.61-4.88
8 Cs 0.7500 0.2500 0.5000  12 I 4.61-4.88
9 Ba 0.0000 0.0000 0.0000  6 I 3.33-3.42
10 Br 0.5000 0.5000 0.0000  2 I 2.71

Entry 6:
Material: Pr4Tm2Sc
Method: DFT, PBE
State: optimized geometry

Summary:
As for the energy of formation from the pure elements: 0.18 eV per atom. As for the crystal system: orthorhombic. The value obtained for the distance to the lowest polymorph of the same formula is 105 meV/atom. The calculation puts the total magnetization at 0.000 μB/atom. For the theoretical density, the calculation gives 6.50 g/cm³.

Cell: 6.8623 6.8623 10.5394 Å, 90.00 90.00 102.84°
Last column: nearest neighbours and their distance in Å.
Atoms (fractional coordinates):
1 Tm 0.6999 0.2998 0.5000  8 Pr 3.35-3.64, 2 Sc 3.40
2 Tm 0.2998 0.6999 0.0000  8 Pr 3.35-3.64, 2 Sc 3.40
3 Tm 0.3001 0.7002 0.5000  8 Pr 3.35-3.64, 2 Sc 3.40
4 Tm 0.7002 0.3001 0.0000  8 Pr 3.35-3.64, 2 Sc 3.40
5 Pr 0.1996 0.1997 0.5000  4 Tm 3.35-3.64, 1 Pr 3.42, 2 Sc 3.68
6 Pr 0.1997 0.1996 0.0000  4 Tm 3.35-3.64, 1 Pr 3.42, 2 Sc 3.68
7 Pr 0.5000 0.0000 0.7501  2 Sc 3.43, 4 Tm 3.44, 4 Pr 3.78-3.79
8 Pr 0.0000 0.5000 0.2501  2 Sc 3.43, 4 Tm 3.44, 4 Pr 3.78-3.79
9 Pr 0.8003 0.8004 0.0000  4 Tm 3.35-3.64, 1 Pr 3.42, 2 Sc 3.68
10 Pr 0.5000 0.0000 0.2499  2 Sc 3.43, 4 Tm 3.44, 4 Pr 3.78-3.79
11 Pr 0.0000 0.5000 0.7499  2 Sc 3.43, 4 Tm 3.44, 4 Pr 3.78-3.79
12 Pr 0.8004 0.8003 0.5000  4 Tm 3.35-3.64, 1 Pr 3.42, 2 Sc 3.68
13 Sc 0.5000 0.5000 0.2500  4 Tm 3.40, 8 Pr 3.43-3.68
14 Sc 0.5000 0.5000 0.7500  4 Tm 3.40, 8 Pr 3.43-3.68

Entry 7:
Material: AgH3Os
Method: DFT, PBE
State: optimized geometry

Summary:
As for the crystal system: cubic. The value obtained for the distance to the lowest polymorph of the same formula is 0 meV/atom. The calculation puts the total magnetization at 0.000 μB/atom. For the theoretical density, the calculation gives 11.45 g/cm³.

Cell: 3.5214 3.5214 3.5214 Å, 90.00 90.00 90.00°
Last column: nearest neighbours and their distance in Å.
Atoms (fractional coordinates):
1 Os 0.0000 0.0000 0.0000  6 H 1.76
2 H 0.0000 0.5000 0.0000  2 Os 1.76
3 H 0.0000 0.0000 0.5000  2 Os 1.76
4 H 0.5000 0.0000 0.0000  2 Os 1.76
5 Ag 0.5000 0.5000 0.5000  12 H 2.49

Entry 8:
Material: CsTc2W
Method: DFT, PBE
State: optimized geometry

Summary:
As for the energy of formation from the pure elements: 1.82 eV per atom. As for the crystal system: cubic. The calculation puts the total magnetization at 0.000 μB/atom. For the theoretical density, the calculation gives 11.58 g/cm³.

Cell: 4.7026 4.7026 4.7026 Å, 60.00 60.00 60.00°
Last column: nearest neighbours and their distance in Å.
Atoms (fractional coordinates):
1 Tc 0.2500 0.2500 0.2500  4 W 2.88, 4 Cs 2.88
2 Tc 0.7500 0.7500 0.7500  4 W 2.88, 4 Cs 2.88
3 W 0.5000 0.5000 0.5000  8 Tc 2.88
4 Cs 0.0000 0.0000 0.0000  8 Tc 2.88

Entry 9:
Material: Cs2SbPBr6
Method: DFT, PBE
State: optimized geometry

Summary:
The raw total energy is -0.21885 Ry/atom. As for the crystal system: tetragonal. The calculation puts the total magnetization at 0.000 μB/atom. For the theoretical density, the calculation gives 4.24 g/cm³.

Cell: 7.8945 7.8945 7.9414 Å, 60.19 60.19 90.00°
Last column: nearest neighbours and their distance in Å.
Atoms (fractional coordinates):
1 Br 0.7432 0.7432 0.5136  1 P 2.75, 1 Sb 2.90
2 Br 0.7412 0.2588 0.0000  1 P 2.69, 1 Sb 2.89
3 Br 0.2588 0.2588 0.0000  1 P 2.69, 1 Sb 2.89
4 Br 0.2568 0.2568 0.4864  1 P 2.75, 1 Sb 2.90
5 Br 0.2588 0.7412 0.0000  1 P 2.69, 1 Sb 2.89
6 Br 0.7412 0.7412 0.0000  1 P 2.69, 1 Sb 2.89
7 Cs 0.7500 0.2500 0.5000  12 Br 3.95-3.97
8 Cs 0.2500 0.7500 0.5000  12 Br 3.95-3.97
9 Sb 0.0000 0.0000 0.0000  6 Br 2.89-2.90
10 P 0.5000 0.5000 0.0000  6 Br 2.69-2.75

Entry 10:
Material: SiNiOs3
Method: DFT, PBE
State: optimized geometry

Summary:
As for the crystal system: cubic. The value obtained for the distance to the lowest polymorph of the same formula is 0 meV/atom. The calculation puts the total magnetization at 0.000 μB/atom. For the theoretical density, the calculation gives 13.33 g/cm³.

Cell: 4.3431 4.3431 4.3431 Å, 90.00 90.00 90.00°
Last column: nearest neighbours and their distance in Å.
Atoms (fractional coordinates):
1 Os 0.5000 0.0000 0.0000  2 Si 2.17
2 Os 0.0000 0.0000 0.5000  2 Si 2.17
3 Os 0.0000 0.5000 0.0000  2 Si 2.17
4 Si 0.0000 0.0000 0.0000  6 Os 2.17
5 Ni 0.5000 0.5000 0.5000  12 Os 3.07

Entry 11:
Material: Tm4Ir2Ru
Method: DFT, PBE
State: optimized geometry

Summary:
As for the energy of formation from the pure elements: -0.75 eV per atom. As for the crystal system: trigonal. The calculation puts the total magnetization at 0.000 μB/atom. For the theoretical density, the calculation gives 12.75 g/cm³.

Cell: 4.7568 4.7568 8.1932 Å, 73.12 73.12 60.00°
Last column: nearest neighbours and their distance in Å.
Atoms (fractional coordinates):
1 Tm 0.8750 0.8750 0.3751  1 Ru 2.90, 4 Ir 2.90-2.91
2 Tm 0.6244 0.6244 0.1268  4 Ir 2.90, 3 Ru 2.92
3 Tm 0.1250 0.1250 0.6249  1 Ru 2.90, 4 Ir 2.90-2.91
4 Tm 0.3756 0.3756 0.8732  4 Ir 2.90, 3 Ru 2.92
5 Ir 0.2502 0.2502 0.2493  8 Tm 2.90-2.91
6 Ir 0.7498 0.7498 0.7507  8 Tm 2.90-2.91
7 Ru 0.0000 0.0000 0.0000  8 Tm 2.90-2.92

Entry 12:
Material: LiEuAgPd
Method: DFT, PBE
State: optimized geometry

Summary:
As for the energy of formation from the pure elements: -0.31 eV per atom. As for the crystal system: cubic. The calculation puts the total magnetization at 1.797 μB/atom. For the theoretical density, the calculation gives 7.59 g/cm³.

Cell: 4.8701 4.8701 4.8701 Å, 60.00 60.00 60.00°
Last column: nearest neighbours and their distance in Å.
Atoms (fractional coordinates):
1 Pd 0.0000 0.0000 0.0000  4 Eu 2.98, 4 Ag 2.98
2 Ag 0.2500 0.2500 0.2500  4 Li 2.98, 4 Pd 2.98
3 Eu 0.7500 0.7500 0.7500  4 Pd 2.98, 4 Li 2.98
4 Li 0.5000 0.5000 0.5000  4 Ag 2.98, 4 Eu 2.98